# TmSc2Te3 PBE-GGA optimized geometry
# * formation energy (no corrections): -1.18 eV/atom
# * space-group type: R-3c, No. 167
data_TmSc2Te3
_chemical_formula_sum 'Tm2 Sc4 Te6'
_symmetry_space_group_name_H-M 'P 1'
_symmetry_Int_Tables_number 1
_symmetry_space_group_name_Hall 'P 1'
_cell_length_a 7.1790
_cell_length_b 7.1790
_cell_length_c 8.2890
_cell_angle_alpha 64.34
_cell_angle_beta 64.34
_cell_angle_gamma 60.00
loop_
_atom_site_label
_atom_site_type_symbol
_atom_site_fract_x
_atom_site_fract_y
_atom_site_fract_z
Sc1 Sc 0.8348 0.8348 0.4955
Te1 Te 0.0757 0.4243 0.7500
Te2 Te 0.9243 0.5757 0.2500
Tm1 Tm 0.5000 0.5000 0.5000
Te3 Te 0.7500 0.0757 0.7500
Sc2 Sc 0.1652 0.1652 0.5045
Tm2 Tm 0.0000 0.0000 0.0000
Sc3 Sc 0.3348 0.3348 0.9955
Te4 Te 0.2500 0.9243 0.2500
Te5 Te 0.4243 0.7500 0.7500
Te6 Te 0.5757 0.2500 0.2500
Sc4 Sc 0.6652 0.6652 0.0045

# SrMgTlGe PBE-GGA optimized geometry
# * space-group type: F-43m, No. 216
data_SrMgTlGe
_chemical_formula_sum 'Sr1 Mg1 Tl1 Ge1'
_symmetry_space_group_name_H-M 'P 1'
_symmetry_Int_Tables_number 1
_symmetry_space_group_name_Hall 'P 1'
_cell_length_a 5.3243
_cell_length_b 5.3243
_cell_length_c 5.3243
_cell_angle_alpha 60.00
_cell_angle_beta 60.00
_cell_angle_gamma 60.00
loop_
_atom_site_label
_atom_site_type_symbol
_atom_site_fract_x
_atom_site_fract_y
_atom_site_fract_z
Mg1 Mg 0.5000 0.5000 0.5000
Sr1 Sr 0.0000 0.0000 0.0000
Ge1 Ge 0.2500 0.2500 0.2500
Tl1 Tl 0.7500 0.7500 0.7500

# In2POs PBE-GGA optimized geometry
# * space-group type: P4/mmm, No. 123
data_In2POs
_chemical_formula_sum 'In2 P1 Os1'
_symmetry_space_group_name_H-M 'P 1'
_symmetry_Int_Tables_number 1
_symmetry_space_group_name_Hall 'P 1'
_cell_length_a 3.4411
_cell_length_b 3.4412
_cell_length_c 6.1046
_cell_angle_alpha 90.00
_cell_angle_beta 90.00
_cell_angle_gamma 90.00
loop_
_atom_site_label
_atom_site_type_symbol
_atom_site_fract_x
_atom_site_fract_y
_atom_site_fract_z
In1 In 0.0000 0.0000 0.0030
In2 In 0.0000 0.0000 0.4970
Os1 Os 0.5000 0.5000 0.2500
P1 P 0.5000 0.5000 0.7500

# NpScTc PBE-GGA optimized geometry
# * offset from the most stable computed form: 0.081 eV per atom
# * space-group type: Fddd, No. 70
data_NpScTc
_chemical_formula_sum 'Np4 Sc4 Tc4'
_symmetry_space_group_name_H-M 'P 1'
_symmetry_Int_Tables_number 1
_symmetry_space_group_name_Hall 'P 1'
_cell_length_a 3.0806
_cell_length_b 5.7345
_cell_length_c 14.2055
_cell_angle_alpha 88.33
_cell_angle_beta 83.78
_cell_angle_gamma 74.42
loop_
_atom_site_label
_atom_site_type_symbol
_atom_site_fract_x
_atom_site_fract_y
_atom_site_fract_z
Sc1 Sc 0.1255 0.7491 0.0000
Tc1 Tc 0.3243 0.5000 0.3515
Np1 Np 0.1528 0.0000 0.6943
Np2 Np 0.9028 0.5000 0.1943
Tc2 Tc 0.4257 0.0000 0.1485
Np3 Np 0.8472 0.0000 0.3057
Sc2 Sc 0.8745 0.2509 0.0000
Sc3 Sc 0.6245 0.7509 0.5000
Np4 Np 0.5972 0.5000 0.8057
Tc3 Tc 0.1757 0.5000 0.6485
Tc4 Tc 0.5743 0.0000 0.8515
Sc4 Sc 0.8755 0.2491 0.5000

# Bi2RhF PBE-GGA optimized geometry
# * formation energy (no corrections): -0.68 eV/atom
# * offset from the most stable computed form: 0.000 eV per atom
# * space-group type: Fm-3m, No. 225
data_Bi2RhF
_chemical_formula_sum 'Bi2 Rh1 F1'
_symmetry_space_group_name_H-M 'P 1'
_symmetry_Int_Tables_number 1
_symmetry_space_group_name_Hall 'P 1'
_cell_length_a 4.7541
_cell_length_b 4.7541
_cell_length_c 4.7541
_cell_angle_alpha 60.00
_cell_angle_beta 60.00
_cell_angle_gamma 60.00
loop_
_atom_site_label
_atom_site_type_symbol
_atom_site_fract_x
_atom_site_fract_y
_atom_site_fract_z
Bi1 Bi 0.2500 0.2500 0.2500
F1 F 0.0000 0.0000 0.0000
Bi2 Bi 0.7500 0.7500 0.7500
Rh1 Rh 0.5000 0.5000 0.5000

# MgSc2Ta PBE-GGA optimized geometry
# * space-group type: Cm, No. 8
data_MgSc2Ta
_chemical_formula_sum 'Mg1 Sc2 Ta1'
_symmetry_space_group_name_H-M 'P 1'
_symmetry_Int_Tables_number 1
_symmetry_space_group_name_Hall 'P 1'
_cell_length_a 5.6368
_cell_length_b 5.6368
_cell_length_c 5.2892
_cell_angle_alpha 74.32
_cell_angle_beta 74.32
_cell_angle_gamma 32.36
loop_
_atom_site_label
_atom_site_type_symbol
_atom_site_fract_x
_atom_site_fract_y
_atom_site_fract_z
Mg1 Mg 0.2323 0.2323 0.2192
Sc1 Sc 0.9840 0.9840 0.0473
Ta1 Ta 0.5149 0.5149 0.5457
Sc2 Sc 0.7687 0.7687 0.6878

# TiFe3Te PBE-GGA optimized geometry
# * formation energy (no corrections): 1.27 eV/atom
# * offset from the most stable computed form: 0.140 eV per atom
# * space-group type: Pm-3m, No. 221
data_TiFe3Te
_chemical_formula_sum 'Ti1 Fe3 Te1'
_symmetry_space_group_name_H-M 'P 1'
_symmetry_Int_Tables_number 1
_symmetry_space_group_name_Hall 'P 1'
_cell_length_a 4.3355
_cell_length_b 4.3355
_cell_length_c 4.3355
_cell_angle_alpha 90.00
_cell_angle_beta 90.00
_cell_angle_gamma 90.00
loop_
_atom_site_label
_atom_site_type_symbol
_atom_site_fract_x
_atom_site_fract_y
_atom_site_fract_z
Fe1 Fe 0.0000 0.0000 0.5000
Te1 Te 0.5000 0.5000 0.5000
Fe2 Fe 0.0000 0.5000 0.0000
Fe3 Fe 0.5000 0.0000 0.0000
Ti1 Ti 0.0000 0.0000 0.0000

# K2LiCuI4 PBE-GGA optimized geometry
# * formation energy (no corrections): -0.98 eV/atom
# * space-group type: Imma, No. 74
data_K2LiCuI4
_chemical_formula_sum 'K4 Li2 Cu2 I8'
_symmetry_space_group_name_H-M 'P 1'
_symmetry_Int_Tables_number 1
_symmetry_space_group_name_Hall 'P 1'
_cell_length_a 9.4663
_cell_length_b 9.4663
_cell_length_c 10.3422
_cell_angle_alpha 123.11
_cell_angle_beta 123.11
_cell_angle_gamma 79.94
loop_
_atom_site_label
_atom_site_type_symbol
_atom_site_fract_x
_atom_site_fract_y
_atom_site_fract_z
Li1 Li 0.0000 0.5000 0.5000
I1 I 0.2197 0.2804 0.5238
I2 I 0.2196 0.2803 0.9762
Cu1 Cu 0.5000 0.5000 0.5000
Li2 Li 0.0000 0.5000 0.0000
I3 I 0.2034 0.7975 0.0005
I4 I 0.7966 0.2025 0.9995
I5 I 0.7802 0.7196 0.4762
K1 K 0.5000 0.5000 0.0000
I6 I 0.7025 0.2966 0.4995
Cu2 Cu 0.0000 0.0000 0.0000
I7 I 0.2975 0.7034 0.5005
I8 I 0.7804 0.7197 0.0238
K2 K 0.5000 0.0000 0.5000
K3 K 0.0000 0.0000 0.5000
K4 K 0.5000 0.0000 0.0000

# La12NdSm7 PBE-GGA optimized geometry
# * offset from the most stable computed form: 0.000 eV per atom
# * space-group type: R-3, No. 148
data_La12NdSm7
_chemical_formula_sum 'La12 Nd1 Sm7'
_symmetry_space_group_name_H-M 'P 1'
_symmetry_Int_Tables_number 1
_symmetry_space_group_name_Hall 'P 1'
_cell_length_a 8.9438
_cell_length_b 8.9438
_cell_length_c 8.9438
_cell_angle_alpha 89.77
_cell_angle_beta 89.77
_cell_angle_gamma 89.77
loop_
_atom_site_label
_atom_site_type_symbol
_atom_site_fract_x
_atom_site_fract_y
_atom_site_fract_z
Sm1 Sm 0.0615 0.1446 0.3791
La1 La 0.6124 0.1437 0.4853
Sm2 Sm 0.3791 0.0615 0.1446
La2 La 0.5147 0.3876 0.8563
La3 La 0.4853 0.6124 0.1437
Sm3 Sm 0.8554 0.6209 0.9385
Sm4 Sm 0.6209 0.9385 0.8554
La4 La 0.1437 0.4853 0.6124
La5 La 0.7168 0.8599 0.2678
Nd1 Nd 0.0000 0.0000 0.0000
La6 La 0.8563 0.5147 0.3876
La7 La 0.8599 0.2678 0.7168
Sm5 Sm 0.5000 0.5000 0.5000
La8 La 0.2678 0.7168 0.8599
La9 La 0.2832 0.1401 0.7322
La10 La 0.7322 0.2832 0.1401
Sm6 Sm 0.1446 0.3791 0.0615
La11 La 0.3876 0.8563 0.5147
Sm7 Sm 0.9385 0.8554 0.6209
La12 La 0.1401 0.7322 0.2832

# Cs5KCd PBE-GGA optimized geometry
# * space-group type: C2/c, No. 15
data_Cs5KCd
_chemical_formula_sum 'Cs10 K2 Cd2'
_symmetry_space_group_name_H-M 'P 1'
_symmetry_Int_Tables_number 1
_symmetry_space_group_name_Hall 'P 1'
_cell_length_a 9.6095
_cell_length_b 9.6095
_cell_length_c 16.4748
_cell_angle_alpha 92.63
_cell_angle_beta 107.07
_cell_angle_gamma 114.72
loop_
_atom_site_label
_atom_site_type_symbol
_atom_site_fract_x
_atom_site_fract_y
_atom_site_fract_z
Cs1 Cs 0.6002 0.4020 0.6269
Cs2 Cs 0.2429 0.4564 0.0504
Cs3 Cs 0.7250 0.0268 0.1269
K1 K 0.1922 0.4422 0.7500
Cs4 Cs 0.2750 0.9732 0.8731
Cs5 Cs 0.2834 0.0334 0.2500
Cs6 Cs 0.9061 0.1925 0.4496
K2 K 0.8078 0.5578 0.2500
Cs7 Cs 0.3998 0.5980 0.3731
Cd1 Cd 0.5000 0.0000 0.5000
Cs8 Cs 0.0939 0.8075 0.5504
Cs9 Cs 0.7166 0.9666 0.7500
Cs10 Cs 0.7571 0.5436 0.9496
Cd2 Cd 0.0000 0.0000 0.0000

# SrZn2As PBE-GGA optimized geometry
# * space-group type: I-42d, No. 122
data_SrZn2As
_chemical_formula_sum 'Sr2 Zn4 As2'
_symmetry_space_group_name_H-M 'P 1'
_symmetry_Int_Tables_number 1
_symmetry_space_group_name_Hall 'P 1'
_cell_length_a 8.0762
_cell_length_b 8.0762
_cell_length_c 6.4693
_cell_angle_alpha 51.38
_cell_angle_beta 51.38
_cell_angle_gamma 90.00
loop_
_atom_site_label
_atom_site_type_symbol
_atom_site_fract_x
_atom_site_fract_y
_atom_site_fract_z
Zn1 Zn 0.1941 0.6250 0.2500
Zn2 Zn 0.5559 0.1250 0.2500
Sr1 Sr 0.0000 0.0000 0.0000
As1 As 0.5000 0.5000 0.0000
Zn3 Zn 0.3750 0.4441 0.7500
Zn4 Zn 0.8750 0.8059 0.7500
Sr2 Sr 0.7500 0.2500 0.5000
As2 As 0.2500 0.7500 0.5000

# Zn2CoTc PBE-GGA optimized geometry
# * offset from the most stable computed form: 0.137 eV per atom
# * space-group type: R3m, No. 160
data_Zn2CoTc
_chemical_formula_sum 'Zn2 Co1 Tc1'
_symmetry_space_group_name_H-M 'P 1'
_symmetry_Int_Tables_number 1
_symmetry_space_group_name_Hall 'P 1'
_cell_length_a 2.6866
_cell_length_b 2.6866
_cell_length_c 8.7907
_cell_angle_alpha 81.21
_cell_angle_beta 81.21
_cell_angle_gamma 60.00
loop_
_atom_site_label
_atom_site_type_symbol
_atom_site_fract_x
_atom_site_fract_y
_atom_site_fract_z
Tc1 Tc 0.5001 0.5001 0.4996
Zn1 Zn 0.2543 0.2543 0.2371
Zn2 Zn 0.0790 0.0790 0.7631
Co1 Co 0.6666 0.6666 0.0002

no.,total energy (eV per cell),magnetic moment (Bohr magnetons per cell)
1,-67.2,0.000
2,-11.2,0.000
3,-20.0,0.000
4,-116.5,13.328
5,-19.7,0.000
6,-25.5,0.000
7,-30.1,0.000
8,-44.5,0.408
9,-93.3,0.000
10,-12.2,0.000
11,-19.6,0.000
12,-19.5,1.512